Li7Mn2Co3O12 PBE with a Hubbard U optimized geometry; total magnetic moment = 0.247 μB per atom; energy = -5.834 eV/atom
1.0
-0.252 -1.562 4.781
3.856 -4.335 0.685
5.916 3.514 3.354
Li Mn Co O
7 2 3 12
Direct
0.989 0.504 0.015 Li
0.001 0.834 0.662 Li
0.507 0.345 0.173 Li
0.506 0.674 0.844 Li
0.007 0.159 0.327 Li
0.491 0.985 0.483 Li
0.500 0.829 0.171 Li
0.999 0.996 0.004 Mn
0.001 0.335 0.665 Mn
0.001 0.667 0.332 Co
0.499 0.166 0.836 Co
0.501 0.503 0.496 Co
0.222 0.682 0.087 O
0.225 0.015 0.753 O
0.756 0.507 0.271 O
0.751 0.864 0.916 O
0.244 0.351 0.429 O
0.747 0.194 0.598 O
0.774 0.328 0.908 O
0.757 0.644 0.574 O
0.247 0.154 0.063 O
0.253 0.474 0.736 O
0.778 0.988 0.241 O
0.245 0.804 0.417 O